[1]
The following is a GGA-PBE calculation of a relaxed structure of Zn2CoSi, from the Alexandria database.

Geometry as extended XYZ:
```
4
Lattice="4.352 0.005 -0.002 3.460 2.640 -0.002 0.841 0.285 4.534" Properties=species:S:1:pos:R:3 pbc="T T T"
Zn 6.555 2.219 3.391
Si 2.095 0.709 1.360
Zn 8.633 2.923 4.474
Co 4.350 1.472 2.101
```

---

[2]
The following is a GGA-PBE calculation of a relaxed structure of Li2TmHg8, from the Alexandria database.

## Properties
The calculation puts the calculated formation energy at -0.24 eV/atom.

Geometry as extended XYZ:
```
11
Lattice="-1.156 3.437 -3.138 -0.042 -5.205 -5.685 -5.988 -0.300 5.542" Properties=species:S:1:pos:R:3 pbc="T T T"
Hg -5.104 -1.691 -3.635
Hg -2.595 -2.305 -5.233
Li -4.469 1.016 -0.905
Hg -2.082 -0.377 0.354
Hg -2.570 -0.179 -2.913
Hg -4.592 0.237 1.952
Hg -4.616 -1.889 -0.368
Tm -0.578 1.718 -1.569
Hg -7.153 1.536 0.654
Li -2.718 -3.084 -2.377
Hg -0.033 -3.604 -3.935
```

---

[3]
The following is a GGA-PBE calculation of a relaxed structure of RbCuIr2Cl, from the Alexandria database.

Geometry as extended XYZ:
```
5
Lattice="-1.855 -4.140 0.545 3.141 -2.210 -6.098 3.671 -1.332 2.373" Properties=species:S:1:pos:R:3 pbc="T T T"
Ir 1.835 -0.666 1.187
Cl 2.478 -3.841 -1.590
Cu 0.000 0.000 0.000
Rb 1.570 -1.105 -3.049
Ir -0.927 -2.070 0.273
```

---

[4]
The following is a GGA-PBE calculation of a relaxed structure of PtWCl2, from the Alexandria database.

## Properties
Its relative energy among the computed polymorphs is 0.887 eV per atom.

Geometry as extended XYZ:
```
4
Lattice="2.866 0.000 0.000 0.000 5.376 0.000 0.000 0.000 4.366" Properties=species:S:1:pos:R:3 pbc="T T T"
Cl 1.433 2.688 0.000
Cl 0.000 0.000 0.000
W 0.000 2.688 2.183
Pt 1.433 0.000 2.183
```

---

Number 1: calculated total energy -3.783 eV per atom. Number 2: calculated total energy -1.210 eV per atom. Number 3: calculated total energy -3.848 eV per atom. Number 4: calculated total energy -4.944 eV per atom.